Computed, not measured: an optimized crystal structure of CdSi2P at the PBE level of DFT.

Geometry as extended XYZ:
```
4
Lattice="5.161 0.085 0.000 -1.710 4.870 0.000 0.000 0.000 2.767" Properties=species:S:1:pos:R:3 pbc="T T T"
Cd 2.580 0.043 1.384
P -0.855 2.435 1.384
Si 0.000 0.000 0.000
Si 1.725 2.477 0.000
```

Summary:
electronic total energy	-3.6699	eV per atom
SG	No. 65
M_tot	0.00	μB per formula unit


Computed, not measured: an optimized crystal structure of Ti2ReTc3 at the PBE level of DFT.

Geometry as extended XYZ:
```
12
Lattice="4.385 0.000 0.017 2.192 6.564 0.009 -0.025 0.000 6.209" Properties=species:S:1:pos:R:3 pbc="T T T"
Ti 0.000 0.000 0.000
Ti -0.012 0.000 3.105
Ti 2.180 2.195 3.113
Ti 4.372 4.369 3.122
Re 2.192 2.163 0.009
Re 4.385 4.401 0.017
Tc 4.366 2.201 4.681
Tc 2.186 0.000 1.549
Tc 2.186 4.363 1.554
Tc 4.379 2.201 1.563
Tc 2.174 4.363 4.672
Tc 2.174 0.000 4.678
```

Summary:
electronic total energy	-10.2894	eV per atom
SG	No. 65
M_tot	0.00	μB per formula unit